1.
# SrFe2Mo

A relaxed structure of SrFe2Mo (PBE, Alexandria via LeMat-Bulk).

Output
energy above the lowest structure with this stoichiometry = 417 meV/atom
space group = R-3m (166)
formation energy = 3.5 eV/f.u.

```
4
Lattice="-4.569 6.199 3.796 -6.438 5.521 1.336 -6.603 3.784 3.974" Properties=species:S:1:pos:R:3 pbc="T T T"
Fe -17.300 15.231 8.947
Fe -9.114 8.024 4.713
Mo -4.402 3.876 2.277
Sr -13.207 11.627 6.830
```

2.
# ReAg2H2

A relaxed structure of ReAg2H2 (PBE, Alexandria via LeMat-Bulk).

Output
energy above the lowest structure with this stoichiometry = 297 meV/atom
space group = I4/mmm (139)

```
5
Lattice="4.809 0.000 0.000 0.000 4.809 0.000 2.405 2.405 3.004" Properties=species:S:1:pos:R:3 pbc="T T T"
Re 0.000 0.000 0.000
Ag 4.809 2.405 1.502
Ag 2.405 4.809 1.502
H 2.405 2.405 0.397
H 4.809 4.809 2.607
```

3.
# LaEuHoSc

A relaxed structure of LaEuHoSc (PBE, Alexandria via LeMat-Bulk).

Output
space group = F-43m (216)
formation energy = 0.6 eV/f.u.

```
4
Lattice="-0.927 -5.075 -2.417 4.015 -4.036 0.221 -0.771 -4.609 3.259" Properties=species:S:1:pos:R:3 pbc="T T T"
Eu 1.159 -6.860 0.531
Sc 0.000 0.000 0.000
Ho 1.738 -10.291 0.797
La 0.579 -3.430 0.266
```

4.
# Li2DyHg7

A relaxed structure of Li2DyHg7 (PBE, Alexandria via LeMat-Bulk).

Output
space group = P3m1 (156)
formation energy = -2.2 eV/f.u.

```
10
Lattice="-1.267 -0.925 4.738 4.804 0.547 -1.237 -0.750 10.979 1.944" Properties=species:S:1:pos:R:3 pbc="T T T"
Li 0.574 2.243 3.220
Li 2.282 7.347 2.045
Dy -0.021 0.314 0.056
Hg 2.459 4.765 1.588
Hg 2.654 1.900 1.081
Hg -0.230 3.362 0.595
Hg -0.552 8.084 1.431
Hg 0.329 5.823 3.854
Hg 0.054 9.853 4.568
Hg 2.105 9.943 2.505
```

5.
# TlPdSe

A relaxed structure of TlPdSe (PBE, Alexandria via LeMat-Bulk).

Output
space group = P-6m2 (187)
energy relative to the elements, uncorrected = -254 meV/atom

```
3
Lattice="-4.360 1.751 -1.323 -1.541 -3.975 -0.181 -0.219 2.209 3.644" Properties=species:S:1:pos:R:3 pbc="T T T"
Tl -4.006 -0.747 0.212
Se -1.385 0.439 2.149
Pd -0.728 0.292 -0.221
```

6.
# Tc2HgPb

A relaxed structure of Tc2HgPb (PBE, Alexandria via LeMat-Bulk).

Output
energy above the lowest structure with this stoichiometry = 487 meV/atom
space group = P2/m (10)
formation energy = 3.0 eV/f.u.

```
4
Lattice="4.687 0.000 0.000 0.000 3.263 -0.016 0.000 0.075 5.290" Properties=species:S:1:pos:R:3 pbc="T T T"
Hg 2.344 0.834 1.319
Pb 2.344 2.503 3.956
Tc 0.000 2.993 0.276
Tc 0.000 1.939 2.345
```

no.,DOS at the Fermi energy (states/eV/cell),raw total energy (eV per atom)
1,3.336,-6.478
2,2.820,-3.813
3,6.493,-6.372
4,2.122,-1.274
5,2.687,-3.935
6,3.123,-5.425